This record from Alexandria via LeMat-Bulk describes a relaxed structure of La2Pr5Y2. The functional is GGA-PBE.

Summary:
The calculated formation energy is 2 kJ/mol of atoms. The volume comes out at 35.6 Å³/atom. The calculation puts the total energy at -0.3800 Ry per atom. The energy above the most stable polymorph in this dataset comes out at 0 meV per atom. The value obtained for the density is 6.008 g cm⁻³.

Cell: 5.232 5.259 23.451 Å, 90.00 96.39 90.00°
Space group C2/m (No. 12)
Symmetry-distinct sites (fractional):
1 La 0.166 0.000 0.331 [4 per cell]
2 Pr 0.000 0.500 0.000 [2 per cell]
3 Pr 0.057 0.000 0.112 [4 per cell]
4 Pr 0.221 0.500 0.443 [4 per cell]
5 Y 0.110 0.500 0.221 [4 per cell]

This record from Alexandria via LeMat-Bulk describes a relaxed structure of La4Pr3Y2. The functional is GGA-PBE.

Summary:
The calculated formation energy is 1 kJ/mol of atoms. The volume comes out at 35.7 Å³/atom. The calculation puts the total energy at -0.3825 Ry per atom. The energy above the most stable polymorph in this dataset comes out at 0 meV per atom. The value obtained for the density is 5.983 g cm⁻³.

Cell: 6.375 6.393 9.775 Å, 71.32 71.30 60.11°
Space group P-1 (No. 2)
Symmetry-distinct sites (fractional):
1 La 0.165 0.168 0.000 [2 per cell]
2 La 0.277 0.612 0.666 [2 per cell]
3 Pr 0.390 0.054 0.334 [2 per cell]
4 Pr 0.500 0.500 0.000 [1 per cell]
5 Y 0.055 0.720 0.335 [2 per cell]

This record from Alexandria via LeMat-Bulk describes a relaxed structure of La3Pr4Y4. The functional is GGA-PBE.

Summary:
The calculated formation energy is 14 kJ/mol of atoms. The volume comes out at 35.8 Å³/atom. The calculation puts the total energy at -0.3887 Ry per atom. The energy above the most stable polymorph in this dataset comes out at 0 meV per atom. The value obtained for the density is 5.641 g cm⁻³.

Cell: 10.928 5.853 12.298 Å, 90.00 90.00 90.00°
Space group Amm2 (No. 38)
Symmetry-distinct sites (fractional):
1 La 0.000 0.000 0.000 [2 per cell]
2 La 0.293 0.000 0.154 [4 per cell]
3 Pr 0.000 0.000 0.705 [2 per cell]
4 Pr 0.214 0.000 0.501 [4 per cell]
5 Pr 0.500 0.000 0.628 [2 per cell]
6 Y 0.000 0.000 0.304 [2 per cell]
7 Y 0.302 0.000 0.850 [4 per cell]
8 Y 0.500 0.000 0.357 [2 per cell]

This record from Alexandria via LeMat-Bulk describes a relaxed structure of La6Pr3Y. The functional is GGA-PBE.

Summary:
The calculated formation energy is 11 kJ/mol of atoms. The volume comes out at 36.3 Å³/atom. The calculation puts the total energy at -0.3621 Ry per atom. The energy above the most stable polymorph in this dataset comes out at 29 meV per atom. The value obtained for the density is 6.159 g cm⁻³.

Cell: 11.030 19.661 6.688 Å, 90.00 90.00 90.00°
Space group Cmc2_1 (No. 36)
Symmetry-distinct sites (fractional):
1 La 0.000 0.030 0.000 [4 per cell]
2 La 0.000 0.280 0.810 [4 per cell]
3 La 0.174 0.460 0.709 [8 per cell]
4 La 0.222 0.293 0.523 [8 per cell]
5 Pr 0.000 0.384 0.230 [4 per cell]
6 Pr 0.178 0.119 0.617 [8 per cell]
7 Y 0.000 0.186 0.259 [4 per cell]

This record from Alexandria via LeMat-Bulk describes a relaxed structure of La5Pr2Y5. The functional is GGA-PBE.

Summary:
The calculated formation energy is 2 kJ/mol of atoms. The volume comes out at 34.9 Å³/atom. The calculation puts the total energy at -0.4058 Ry per atom. The value obtained for the density is 5.635 g cm⁻³.

Cell: 15.605 5.188 11.588 Å, 90.00 116.80 90.00°
Space group C2/m (No. 12)
Symmetry-distinct sites (fractional):
1 La 0.000 0.000 0.000 [2 per cell]
2 La 0.082 0.000 0.751 [4 per cell]
3 La 0.249 0.000 0.249 [4 per cell]
4 Pr 0.166 0.000 0.500 [4 per cell]
5 Y 0.000 0.500 0.500 [2 per cell]
6 Y 0.083 0.500 0.250 [4 per cell]
7 Y 0.167 0.500 0.000 [4 per cell]

This record from Alexandria via LeMat-Bulk describes a relaxed structure of La2Pr6Y3. The functional is GGA-PBE.

Summary:
The calculated formation energy is 15 kJ/mol of atoms. The volume comes out at 37.0 Å³/atom. The calculation puts the total energy at -0.3755 Ry per atom. The energy above the most stable polymorph in this dataset comes out at 0 meV per atom. The value obtained for the density is 5.670 g cm⁻³.

Cell: 6.306 10.933 11.999 Å, 90.00 100.20 90.00°
Space group C2/m (No. 12)
Symmetry-distinct sites (fractional):
1 La 0.000 0.167 0.000 [4 per cell]
2 Pr 0.249 0.500 0.747 [4 per cell]
3 Pr 0.250 0.166 0.747 [8 per cell]
4 Y 0.000 0.000 0.500 [2 per cell]
5 Y 0.000 0.335 0.500 [4 per cell]

This record from Alexandria via LeMat-Bulk describes a relaxed structure of La2Pr8Y. The functional is GGA-PBE.

Summary:
The calculated formation energy is 13 kJ/mol of atoms. The volume comes out at 36.5 Å³/atom. The calculation puts the total energy at -0.3545 Ry per atom. The energy above the most stable polymorph in this dataset comes out at 124 meV per atom. The value obtained for the density is 6.171 g cm⁻³.

Cell: 17.047 6.961 6.905 Å, 90.00 101.12 90.00°
Space group C2/m (No. 12)
Symmetry-distinct sites (fractional):
1 La 0.196 0.000 0.310 [4 per cell]
2 Pr 0.087 0.264 0.906 [8 per cell]
3 Pr 0.091 0.500 0.415 [4 per cell]
4 Pr 0.243 0.000 0.816 [4 per cell]
5 Y 0.000 0.000 0.500 [2 per cell]

This record from Alexandria via LeMat-Bulk describes a relaxed structure of LaPr5Y3. The functional is GGA-PBE.

Summary:
The calculated formation energy is 44 kJ/mol of atoms. The volume comes out at 39.5 Å³/atom. The calculation puts the total energy at -0.3603 Ry per atom. The energy above the most stable polymorph in this dataset comes out at 194 meV per atom. The value obtained for the density is 5.190 g cm⁻³.

Cell: 15.518 11.842 10.045 Å, 90.00 129.67 90.00°
Space group C2/m (No. 12)
Symmetry-distinct sites (fractional):
1 La 0.229 0.000 0.057 [4 per cell]
2 Pr 0.000 0.254 0.000 [4 per cell]
3 Pr 0.142 0.252 0.738 [8 per cell]
4 Pr 0.230 0.500 0.232 [4 per cell]
5 Pr 0.250 0.000 0.416 [4 per cell]
6 Y 0.000 0.000 0.000 [2 per cell]
7 Y 0.000 0.500 0.500 [2 per cell]
8 Y 0.004 0.500 0.823 [4 per cell]
9 Y 0.013 0.000 0.351 [4 per cell]

This record from Alexandria via LeMat-Bulk describes a relaxed structure of La3Pr8Y2. The functional is GGA-PBE.

Summary:
The calculated formation energy is 13 kJ/mol of atoms. The volume comes out at 36.3 Å³/atom. The calculation puts the total energy at -0.3627 Ry per atom. The energy above the most stable polymorph in this dataset comes out at 0 meV per atom. The value obtained for the density is 6.056 g cm⁻³.

Cell: 13.529 12.024 6.293 Å, 90.00 112.73 90.00°
Space group C2/m (No. 12)
Symmetry-distinct sites (fractional):
1 La 0.000 0.000 0.000 [2 per cell]
2 La 0.000 0.239 0.500 [4 per cell]
3 Pr 0.059 0.500 0.291 [4 per cell]
4 Pr 0.157 0.000 0.544 [4 per cell]
5 Pr 0.175 0.256 0.177 [8 per cell]
6 Y 0.209 0.500 0.865 [4 per cell]

This record from Alexandria via LeMat-Bulk describes a relaxed structure of La2Pr3Y8. The functional is GGA-PBE.

Summary:
The calculated formation energy is 24 kJ/mol of atoms. The volume comes out at 35.6 Å³/atom. The calculation puts the total energy at -0.4106 Ry per atom. The energy above the most stable polymorph in this dataset comes out at 79 meV per atom. The value obtained for the density is 5.073 g cm⁻³.

Cell: 20.871 7.747 5.717 Å, 90.00 90.05 90.00°
Space group C2/m (No. 12)
Symmetry-distinct sites (fractional):
1 La 0.242 0.000 0.498 [4 per cell]
2 Pr 0.000 0.000 0.500 [2 per cell]
3 Pr 0.000 0.293 0.000 [4 per cell]
4 Y 0.107 0.289 0.500 [8 per cell]
5 Y 0.131 0.000 0.000 [4 per cell]
6 Y 0.164 0.500 0.001 [4 per cell]